Run i
# LaAgW2

A PBEsol-optimized structure of LaAgW2 (meta-GGA SCAN, Alexandria via LeMat-Bulk).

Unit cell a=3.2315 b=3.2315 c=7.6929 alpha=90.00 beta=90.00 gamma=90.00
With the nearest neighbours (Å) after each atom.
Positions (direct):
Ag1 0.5000 0.5000 0.4546  5 W 2.90-3.05, 4 Ag 3.23
La1 0.0000 0.0000 0.7649  5 W 3.21-3.52, 4 La 3.23, 4 Ag 3.30
W1 0.5000 0.5000 0.0584  4 W 2.61
W2 0.0000 0.0000 0.2221  4 W 2.61, 4 Ag 2.90

Values from the calculation:
- DOS(E_F): 4.99 states/eV per cell

***

Run ii
# LaAgW2

A PBEsol-optimized structure of LaAgW2 (meta-GGA SCAN, Alexandria via LeMat-Bulk).

Unit cell a=2.7743 b=2.7743 c=9.6603 alpha=90.00 beta=90.00 gamma=90.00
With the nearest neighbours (Å) after each atom.
Positions (direct):
Ag1 0.0000 0.0000 0.4692  4 Ag 2.77, 4 W 2.87
La1 0.5000 0.5000 0.7518  4 La 2.77
W1 0.0000 0.0000 0.0263  8 W 2.77-2.94
W2 0.5000 0.5000 0.2526  8 W 2.77-2.94, 4 Ag 2.87

Values from the calculation:
- DOS(E_F): 2.38 states/eV per cell

***

Energies in eV/atom, measured from the most stable structure: run i 0.000; run ii 0.248.

***

Run i
# LaZr2Ag

A PBEsol-optimized structure of LaZr2Ag (meta-GGA SCAN, Alexandria via LeMat-Bulk).

Unit cell a=3.2128 b=5.2611 c=5.5357 alpha=90.00 beta=98.14 gamma=90.00
With the nearest neighbours (Å) after each atom.
Positions (direct):
Ag1 0.5000 0.5000 0.0000  2 La 3.00, 4 Zr 3.04, 2 Ag 3.21
La1 0.0000 0.5000 0.5000  2 Ag 3.00, 2 La 3.21, 4 Zr 3.23
Zr1 0.6984 0.0000 0.7675  5 Zr 2.99-3.21, 2 Ag 3.04, 2 La 3.23
Zr2 0.3016 0.0000 0.2325  5 Zr 2.99-3.21, 2 Ag 3.04, 2 La 3.23

Values from the calculation:
- DOS(E_F): 4.18 states/eV per cell

***

Run ii
# LaZr2Ag

A PBEsol-optimized structure of LaZr2Ag (meta-GGA SCAN, Alexandria via LeMat-Bulk).

Unit cell a=4.3891 b=4.3891 c=5.6645 alpha=112.79 beta=112.79 gamma=90.00
With the nearest neighbours (Å) after each atom.
Positions (direct):
Ag1 0.5000 0.5000 0.0000  4 La 3.10, 8 Zr 3.23
La1 0.0000 0.0000 0.0000  4 Ag 3.10, 8 Zr 3.23
Zr1 0.7500 0.2500 0.5000  4 Zr 3.10, 4 La 3.23, 4 Ag 3.23
Zr2 0.2500 0.7500 0.5000  4 Zr 3.10, 4 La 3.23, 4 Ag 3.23

Values from the calculation:
- DOS(E_F): 4.67 states/eV per cell

***

Run iii
# LaZr2Ag

A PBEsol-optimized structure of LaZr2Ag (meta-GGA SCAN, Alexandria via LeMat-Bulk).

Unit cell a=3.2778 b=3.2778 c=8.7890 alpha=90.00 beta=90.00 gamma=90.00
With the nearest neighbours (Å) after each atom.
Positions (direct):
Zr1 0.0000 0.0000 0.0332  8 Zr 3.08-3.28
Zr2 0.5000 0.5000 0.2646  4 Ag 2.93, 8 Zr 3.08-3.28
Ag1 0.0000 0.0000 0.4694  4 Zr 2.93, 4 La 3.28, 4 Ag 3.28
La1 0.5000 0.5000 0.7328  4 Ag 3.28, 4 La 3.28, 4 Zr 3.51

Values from the calculation:
- DOS(E_F): 3.43 states/eV per cell

***

Energies in eV/atom, measured from the most stable structure: run i 0.214; run ii 0.231; run iii 0.000.

***

Run i
# La2ZrAg

A PBEsol-optimized structure of La2ZrAg (meta-GGA SCAN, Alexandria via LeMat-Bulk).

Unit cell a=3.3766 b=5.5706 c=5.5706 alpha=90.19 beta=90.00 gamma=90.00
With the nearest neighbours (Å) after each atom.
Positions (direct):
Ag1 0.5000 0.5000 0.5000  8 La 3.26, 2 Ag 3.38
La1 0.0000 0.5000 0.0000  4 Ag 3.26, 4 Zr 3.26, 2 La 3.38
La2 0.0000 0.0000 0.5000  4 Zr 3.26, 4 Ag 3.26, 2 La 3.38
Zr1 0.5000 0.0000 0.0000  8 La 3.26, 2 Zr 3.38

Values from the calculation:
- DOS(E_F): 4.04 states/eV per cell

***

Run ii
# La2ZrAg

A PBEsol-optimized structure of La2ZrAg (meta-GGA SCAN, Alexandria via LeMat-Bulk).

Unit cell a=3.5469 b=5.4666 c=6.1683 alpha=116.30 beta=106.71 gamma=90.00
With the nearest neighbours (Å) after each atom.
Positions (direct):
Ag1 0.0000 0.5000 0.0000  4 La 3.10, 4 Zr 3.26
La1 0.7427 0.7427 0.4853  2 Ag 3.10, 2 Zr 3.23, 4 La 3.26
La2 0.2573 0.2573 0.5147  2 Ag 3.10, 2 Zr 3.23, 4 La 3.26
Zr1 0.5000 0.0000 0.0000  4 La 3.23, 4 Ag 3.26, 2 Zr 3.55

Values from the calculation:
- DOS(E_F): 4.67 states/eV per cell

***

Run iii
# La2ZrAg

A PBEsol-optimized structure of La2ZrAg (meta-GGA SCAN, Alexandria via LeMat-Bulk).

Unit cell a=5.1507 b=5.1507 c=5.1507 alpha=60.00 beta=60.00 gamma=60.00
With the nearest neighbours (Å) after each atom.
Positions (direct):
Ag1 0.5000 0.5000 0.5000  4 Zr 3.15, 4 La 3.15
La1 0.0000 0.0000 0.0000  4 Zr 3.15, 4 La 3.15
La2 0.2500 0.2500 0.2500  4 La 3.15, 4 Ag 3.15
Zr1 0.7500 0.7500 0.7500  4 La 3.15, 4 Ag 3.15

Values from the calculation:
- DOS(E_F): 4.28 states/eV per cell

***

Energies in eV/atom, measured from the most stable structure: run i 0.000; run ii 0.127; run iii 0.120.

***

Run i
# LiMg2Ag

A PBEsol-optimized structure of LiMg2Ag (meta-GGA SCAN, Alexandria via LeMat-Bulk).

Unit cell a=4.6590 b=4.6590 c=4.6590 alpha=60.00 beta=60.00 gamma=60.00
With the nearest neighbours (Å) after each atom.
Positions (direct):
Mg1 0.7500 0.7500 0.7500  4 Li 2.85, 4 Ag 2.85
Mg2 0.2500 0.2500 0.2500  4 Ag 2.85, 4 Li 2.85
Ag1 0.5000 0.5000 0.5000  8 Mg 2.85
Li1 0.0000 0.0000 0.0000  8 Mg 2.85

Values from the calculation:
- DOS(E_F): 1.05 states/eV per cell

***

Run ii
# LiMg2Ag

A PBEsol-optimized structure of LiMg2Ag (meta-GGA SCAN, Alexandria via LeMat-Bulk).

Unit cell a=3.3099 b=4.6681 c=4.6681 alpha=90.00 beta=90.00 gamma=90.00
With the nearest neighbours (Å) after each atom.
Positions (direct):
Mg1 0.0000 0.0000 0.5000  4 Li 2.86, 4 Ag 2.86
Mg2 0.0000 0.5000 0.0000  4 Li 2.86, 4 Ag 2.86
Ag1 0.5000 0.5000 0.5000  8 Mg 2.86
Li1 0.5000 0.0000 0.0000  8 Mg 2.86

Values from the calculation:
- DOS(E_F): 1.14 states/eV per cell

***

Energies in eV/atom, measured from the most stable structure: run i 0.000; run ii 0.068.